DFT (PBE) results for MgTlCuW after structural relaxation.

## Properties
distance to the lowest polymorph of the same formula	0.000	eV per atom
space-group type	F-43m, No. 216
total DFT energy (no corrections)	-4.284	eV per atom

Lattice parameters (Å, degrees): 4.677 4.677 4.677 60.00 60.00 60.00
Fractional positions:
Mg  0.000  0.000  0.000
Tl  0.500  0.500  0.500
Cu  0.750  0.750  0.750
W  0.250  0.250  0.250



DFT (PBE) results for Y3Mg3TlCu2 after structural relaxation.

## Properties
space-group type	P-62m, No. 189
total DFT energy (no corrections)	-3.959	eV per atom

Lattice parameters (Å, degrees): 7.560 7.560 4.208 90.00 90.00 120.00
Fractional positions:
Y  0.000  0.578  0.000
Y  0.422  0.422  0.000
Y  0.578  0.000  0.000
Mg  0.000  0.260  0.500
Mg  0.260  0.000  0.500
Mg  0.740  0.740  0.500
Tl  0.000  0.000  0.000
Cu  0.333  0.667  0.500
Cu  0.667  0.333  0.500